Compound: Ce2PaSi6
Source: Alexandria
Functional: GGA-PBE
Structure: optimized geometry

## Properties
D(E_F), states/eV/cell: 8.7
Uncorrected formation energy, eV per atom: -0.6131
Calculated density, Mg/m³: 6.5

a b c (Å): 7.0305 7.0305 4.0522
angles (deg): 90.00 90.00 120.00
Space group P6/mmm (No. 191)
Symmetry-distinct sites (fractional):
Ce (0.3333, 0.6667, 0.0000) (multiplicity 2)
Pa (0.0000, 0.0000, 0.0000) (multiplicity 1)
Si (0.0000, 0.3316, 0.5000) (multiplicity 6)